## P
{
  "formula": "KAsSe2N",
  "functional": "PBE",
  "state": "relaxed",
  "cell": [[-5.3994, 2.2402, 0.3292], [-0.9174, -2.9428, 4.9779], [1.7032, 3.7345, 2.5216]],
  "species": ["As", "N", "Se", "Se", "K"],
  "frac_coords": [[0.5000, 0.5000, 0.5000], [0.0000, 0.0000, 0.5000], [0.0000, 0.5000, 0.0000], [0.5000, 0.0000, 0.0000], [0.0000, 0.0000, 0.0000]],
  "crystal_system": "tetragonal",
  "space_group": "No. 123"
}

=====

## Q
{
  "formula": "KAsSe2N",
  "functional": "PBE",
  "state": "relaxed",
  "cell": [[-5.2725, 1.0201, 1.5158], [-0.5907, -5.3325, 1.5340], [1.1257, 0.8392, 3.3508]],
  "species": ["K", "N", "Se", "Se", "As"],
  "frac_coords": [[0.5000, 0.5000, 0.5000], [0.0000, 0.0000, 0.5000], [0.5000, 0.0000, 0.0000], [0.0000, 0.5000, 0.0000], [0.0000, 0.0000, 0.0000]],
  "crystal_system": "tetragonal",
  "space_group": "No. 123"
}

=====

## R
{
  "formula": "KAsSe2N",
  "functional": "PBE",
  "state": "relaxed",
  "cell": [[6.1108, 0.0000, 0.0000], [0.0000, 6.1108, 0.0000], [0.0000, 0.0000, 6.1443]],
  "species": ["K", "Se", "Se", "As", "N"],
  "frac_coords": [[0.0000, 0.0000, 0.0000], [0.5000, 0.0000, 0.0000], [0.0000, 0.5000, 0.0000], [0.0000, 0.0000, 0.5000], [0.5000, 0.5000, 0.5000]],
  "crystal_system": "tetragonal",
  "space_group": "No. 123"
}

=====

## S
{
  "formula": "KAsSe2N",
  "functional": "PBE",
  "state": "relaxed",
  "cell": [[-4.9925, -1.2282, -0.4971], [1.2955, -4.1185, -2.8355], [0.2151, -2.2178, 3.3195]],
  "species": ["Se", "Se", "N", "K", "As"],
  "frac_coords": [[0.0000, 0.5000, 0.0000], [0.5000, 0.0000, 0.0000], [0.0000, 0.0000, 0.0000], [0.5000, 0.5000, 0.5000], [0.0000, 0.0000, 0.5000]],
  "crystal_system": "tetragonal",
  "space_group": "No. 123"
}

=====

Most favorable first, least favorable last: Q, S, P, R

=====

## P
{
  "formula": "KAsSeN2",
  "functional": "PBE",
  "state": "relaxed",
  "cell": [[-1.5820, 3.6939, -1.3248], [-3.0194, -2.0581, -2.1330], [-3.0748, 0.1814, 4.1775]],
  "species": ["Se", "As", "K", "N", "N"],
  "frac_coords": [[0.0000, 0.0000, 0.5000], [0.0000, 0.0000, 0.0000], [0.5000, 0.5000, 0.5000], [0.0000, 0.5000, 0.0000], [0.5000, 0.0000, 0.0000]],
  "crystal_system": "tetragonal",
  "space_group": "No. 123"
}

=====

## Q
{
  "formula": "KAsSeN2",
  "functional": "PBE",
  "state": "relaxed",
  "cell": [[-4.1648, 0.1935, -2.0503], [-1.4463, -3.5679, 2.6011], [-1.9954, 4.0420, 4.4348]],
  "species": ["K", "As", "Se", "N", "N"],
  "frac_coords": [[0.0000, 0.0000, 0.0000], [0.5000, 0.5000, 0.5000], [0.0000, 0.0000, 0.5000], [0.5000, 0.0000, 0.0000], [0.0000, 0.5000, 0.0000]],
  "crystal_system": "tetragonal",
  "space_group": "No. 123"
}

=====

Most favorable first, least favorable last: P, Q

=====

## P
{
  "formula": "KTe2AsN",
  "functional": "PBE",
  "state": "relaxed",
  "cell": [[6.2222, 0.0000, 0.0000], [0.0000, 6.2222, 0.0000], [0.0000, 0.0000, 3.5689]],
  "species": ["Te", "Te", "N", "As", "K"],
  "frac_coords": [[0.5000, 0.0000, 0.0000], [0.0000, 0.5000, 0.0000], [0.0000, 0.0000, 0.5000], [0.0000, 0.0000, 0.0000], [0.5000, 0.5000, 0.5000]],
  "crystal_system": "tetragonal",
  "space_group": "No. 123"
}

=====

## Q
{
  "formula": "KTe2AsN",
  "functional": "PBE",
  "state": "relaxed",
  "cell": [[-1.4426, 4.3178, -3.8421], [-4.6658, -3.2071, -1.8523], [-2.4261, 1.8212, 2.9577]],
  "species": ["As", "Te", "Te", "K", "N"],
  "frac_coords": [[0.5000, 0.5000, 0.5000], [0.0000, 0.5000, 0.0000], [0.5000, 0.0000, 0.0000], [0.0000, 0.0000, 0.0000], [0.0000, 0.0000, 0.5000]],
  "crystal_system": "tetragonal",
  "space_group": "No. 123"
}

=====

Most favorable first, least favorable last: P, Q

=====

## P
{
  "formula": "KZrAsN2",
  "functional": "PBE",
  "state": "relaxed",
  "cell": [[4.0424, 0.0000, 0.0000], [0.0000, 6.8424, 0.0000], [0.0000, 0.0000, 4.0424]],
  "species": ["N", "N", "As", "Zr", "K"],
  "frac_coords": [[0.5000, 0.0000, 0.0000], [0.0000, 0.0000, 0.5000], [0.5000, 0.5000, 0.5000], [0.0000, 0.5000, 0.0000], [0.0000, 0.0000, 0.0000]],
  "crystal_system": "tetragonal",
  "space_group": "No. 123"
}

=====

## Q
{
  "formula": "KZrAsN2",
  "functional": "PBE",
  "state": "relaxed",
  "cell": [[-1.3318, -3.9615, 1.4414], [3.5316, 0.2571, 3.9699], [-3.0260, 1.9508, 2.5656]],
  "species": ["N", "N", "As", "Zr", "K"],
  "frac_coords": [[0.5000, 0.0000, 0.0000], [0.0000, 0.0000, 0.5000], [0.0000, 0.5000, 0.0000], [0.0000, 0.0000, 0.0000], [0.5000, 0.5000, 0.5000]],
  "crystal_system": "tetragonal",
  "space_group": "No. 123"
}

=====

Most favorable first, least favorable last: Q, P

=====

## P
{
  "formula": "KNa3As",
  "functional": "PBE",
  "state": "relaxed",
  "cell": [[7.7032, 0.0000, -4.2588], [-2.0538, 6.2237, -3.7148], [-0.5831, 0.0479, 8.0412]],
  "species": ["Na", "Na", "Na", "Na", "Na", "Na", "K", "K", "As", "As"],
  "frac_coords": [[0.7500, 0.1320, 0.5000], [0.2826, 0.7826, 0.0651], [0.2500, 0.8680, 0.5000], [0.7826, 0.7826, 0.0651], [0.7174, 0.2174, 0.9349], [0.2174, 0.2174, 0.9349], [0.7500, 0.5834, 0.5000], [0.2500, 0.4166, 0.5000], [0.0000, 0.5000, 0.0000], [0.5000, 0.0000, 0.0000]],
  "crystal_system": "orthorhombic",
  "space_group": "No. 74"
}

=====

## Q
{
  "formula": "KNa3As",
  "functional": "PBE",
  "state": "relaxed",
  "cell": [[5.7598, 0.0000, 0.0000], [0.0000, 5.7598, 0.0000], [0.0000, 0.0000, 5.7598]],
  "species": ["K", "Na", "Na", "Na", "As"],
  "frac_coords": [[0.5000, 0.5000, 0.5000], [0.5000, 0.0000, 0.0000], [0.0000, 0.5000, 0.0000], [0.0000, 0.0000, 0.5000], [0.0000, 0.0000, 0.0000]],
  "crystal_system": "cubic",
  "space_group": "No. 221"
}

=====

Most favorable first, least favorable last: P, Q

=====

## P
{
  "formula": "KNa2AsPd",
  "functional": "PBE",
  "state": "relaxed",
  "cell": [[5.5159, 0.0000, 0.0000], [0.0000, 5.5159, 0.0000], [0.0000, 0.0000, 4.7899]],
  "species": ["Pd", "Na", "Na", "K", "As"],
  "frac_coords": [[0.0000, 0.0000, 0.0000], [0.5000, 0.0000, 0.0000], [0.0000, 0.5000, 0.0000], [0.5000, 0.5000, 0.5000], [0.0000, 0.0000, 0.5000]],
  "crystal_system": "tetragonal",
  "space_group": "No. 123"
}

=====

## Q
{
  "formula": "KNa2AsPd",
  "functional": "PBE",
  "state": "relaxed",
  "cell": [[-2.9089, -2.0766, 4.2563], [-0.6127, -4.7881, -2.7548], [4.0990, -1.6681, 1.9876]],
  "species": ["As", "Pd", "Na", "Na", "K"],
  "frac_coords": [[0.0000, 0.0000, 0.0000], [0.0000, 0.0000, 0.5000], [0.5000, 0.0000, 0.0000], [0.0000, 0.5000, 0.0000], [0.5000, 0.5000, 0.5000]],
  "crystal_system": "tetragonal",
  "space_group": "No. 123"
}

=====

Most favorable first, least favorable last: P, Q